Entry A
Density functional theory data (PBE) for crystalline La2ZrMn at its relaxed geometry.

a = 3.5789 Å, b = 3.5789 Å, c = 8.5060 Å
α = 90.00°, β = 90.00°, γ = 90.02°
With the nearest neighbours (Å) after each atom.
Positions (direct):
La 0.5000 0.5000 0.3073  1 Zr 3.19, 4 Mn 3.26
La 0.0000 0.0000 0.9610  4 Zr 3.47, 1 Mn 3.50, 4 La 3.58
Zr 0.5000 0.5000 0.6825  4 Mn 2.77
Mn 0.0000 0.0000 0.5492  4 Zr 2.77



Entry B
Density functional theory data (PBE) for crystalline La2ZrMn at its relaxed geometry.

a = 3.4049 Å, b = 5.5476 Å, c = 5.4485 Å
α = 90.00°, β = 90.00°, γ = 90.00°
With the nearest neighbours (Å) after each atom.
Positions (direct):
Mn 0.5000 0.0000 0.5000  4 La 3.21, 4 Zr 3.25, 2 Mn 3.40
La 0.5000 0.5000 0.0000  4 Zr 3.21, 6 La 3.25-3.40
La 0.0000 0.0000 0.0000  4 Mn 3.21, 6 La 3.25-3.40
Zr 0.0000 0.5000 0.5000  4 La 3.21, 4 Mn 3.25, 2 Zr 3.40



Entry C
Density functional theory data (PBE) for crystalline La2ZrMn at its relaxed geometry.

a = 5.2776 Å, b = 5.2776 Å, c = 5.2776 Å
α = 60.00°, β = 60.00°, γ = 60.00°
With the nearest neighbours (Å) after each atom.
Positions (direct):
Mn 0.5000 0.5000 0.5000  4 La 3.23, 4 Zr 3.23
Zr 0.7500 0.7500 0.7500  4 Mn 3.23, 4 La 3.23
La 0.0000 0.0000 0.0000  4 Zr 3.23, 4 La 3.23
La 0.2500 0.2500 0.2500  4 La 3.23, 4 Mn 3.23



Entry D
Density functional theory data (PBE) for crystalline La2ZrMn at its relaxed geometry.

a = 5.8154 Å, b = 5.8154 Å, c = 5.8154 Å
α = 131.55°, β = 131.55°, γ = 70.93°
With the nearest neighbours (Å) after each atom.
Positions (direct):
La 0.5000 0.5000 0.0000  4 Zr 3.36, 4 Mn 3.36, 4 La 3.37
La 0.0000 0.0000 0.0000  4 Mn 3.36, 4 Zr 3.36, 4 La 3.37
Mn 0.2500 0.7500 0.5000  8 La 3.36, 4 Zr 3.37
Zr 0.7500 0.2500 0.5000  8 La 3.36, 4 Mn 3.37



entry A is favored, and the nearest alternative lies 190 meV/atom above it.



Entry A
Density functional theory data (PBE) for crystalline La2ZrMn at its relaxed geometry.

a = 5.3930 Å, b = 5.3930 Å, c = 5.3930 Å
α = 60.00°, β = 60.00°, γ = 60.00°
With the nearest neighbours (Å) after each atom.
Positions (direct):
La 0.2500 0.2500 0.2500  4 Zr 3.30, 4 Mn 3.30
La 0.7500 0.7500 0.7500  4 Zr 3.30, 4 Mn 3.30
Mn 0.0000 0.0000 0.0000  8 La 3.30
Zr 0.5000 0.5000 0.5000  8 La 3.30



Entry B
Density functional theory data (PBE) for crystalline La2ZrMn at its relaxed geometry.

a = 3.5354 Å, b = 3.5354 Å, c = 8.7424 Å
α = 90.00°, β = 90.00°, γ = 90.06°
With the nearest neighbours (Å) after each atom.
Positions (direct):
La 0.0000 0.0000 0.0215  4 Mn 3.20, 4 Zr 3.45, 4 La 3.54
La 0.0000 0.0000 0.4785  4 Mn 3.20, 4 Zr 3.45, 4 La 3.54
Mn 0.5000 0.5000 0.2500  8 La 3.20, 4 Mn 3.54
Zr 0.5000 0.5000 0.7500  8 La 3.45, 4 Zr 3.54



Entry C
Density functional theory data (PBE) for crystalline La2ZrMn at its relaxed geometry.

a = 5.5777 Å, b = 5.5777 Å, c = 3.5417 Å
α = 90.00°, β = 90.00°, γ = 96.99°
With the nearest neighbours (Å) after each atom.
Positions (direct):
Zr 0.0000 0.5000 0.5000  8 La 3.30, 2 Zr 3.54, 2 Mn 3.70
La 0.5000 0.5000 0.0000  4 Zr 3.30, 4 Mn 3.30, 4 La 3.54-3.70
La 0.0000 0.0000 0.0000  4 Mn 3.30, 4 Zr 3.30, 4 La 3.54-3.70
Mn 0.5000 0.0000 0.5000  8 La 3.30, 2 Mn 3.54, 2 Zr 3.70



entry B is favored, and the nearest alternative lies 47 meV/atom above it.



Entry A
Density functional theory data (PBE) for crystalline La2ZrMn at its relaxed geometry.

a = 9.8984 Å, b = 9.8984 Å, c = 9.8984 Å
α = 20.92°, β = 20.92°, γ = 20.92°
With the nearest neighbours (Å) after each atom.
Positions (direct):
Mn 0.4932 0.4932 0.4932  3 Zr 2.63, 3 La 2.86
La 0.2278 0.2278 0.2278  3 Mn 2.86
La 0.0083 0.0083 0.0083  3 Zr 3.47, 6 La 3.59
Zr 0.7707 0.7707 0.7707  3 Mn 2.63



Entry B
Density functional theory data (PBE) for crystalline La2ZrMn at its relaxed geometry.

a = 6.2407 Å, b = 6.2407 Å, c = 6.2407 Å
α = 145.86°, β = 130.42°, γ = 61.57°
With the nearest neighbours (Å) after each atom.
Positions (direct):
La 0.4520 0.4520 0.0000  2 Mn 2.84
La 0.0480 0.0480 0.0000  2 Mn 2.84
Zr 0.7500 0.2500 0.5000  4 Mn 3.19, 4 La 3.40
Mn 0.2500 0.7500 0.5000  4 La 2.84



entry A is favored, and the nearest alternative lies 31 meV/atom above it.



Entry A
Density functional theory data (PBE) for crystalline LaZrMn3 at its relaxed geometry.

a = 4.5845 Å, b = 4.5845 Å, c = 4.5845 Å
α = 90.00°, β = 90.00°, γ = 90.00°
With the nearest neighbours (Å) after each atom.
Positions (direct):
La 0.0000 0.0000 0.0000  6 Mn 2.29
Mn 0.5000 0.0000 0.0000  2 La 2.29
Mn 0.0000 0.0000 0.5000  2 La 2.29
Mn 0.0000 0.5000 0.0000  2 La 2.29
Zr 0.5000 0.5000 0.5000  12 Mn 3.24



Entry B
Density functional theory data (PBE) for crystalline LaZrMn3 at its relaxed geometry.

a = 4.9255 Å, b = 4.9255 Å, c = 4.9255 Å
α = 90.00°, β = 90.00°, γ = 90.00°
With the nearest neighbours (Å) after each atom.
Positions (direct):
La 0.5000 0.5000 0.5000  12 Mn 3.48
Zr 0.0000 0.0000 0.0000  6 Mn 2.46
Mn 0.0000 0.5000 0.0000  2 Zr 2.46
Mn 0.0000 0.0000 0.5000  2 Zr 2.46
Mn 0.5000 0.0000 0.0000  2 Zr 2.46



entry B is favored, and the nearest alternative lies 625 meV/atom above it.



Entry A
Density functional theory data (PBE) for crystalline LaZrMn at its relaxed geometry.

a = 4.8404 Å, b = 4.8404 Å, c = 3.5742 Å
α = 90.00°, β = 90.00°, γ = 120.00°
With the nearest neighbours (Å) after each atom.
Positions (direct):
Zr 0.6667 0.3333 0.5645  3 Mn 2.84
La 0.0000 0.0000 0.0149  6 Mn 3.15-3.51, 6 Zr 3.23-3.42
Mn 0.3333 0.6667 0.4207  3 Zr 2.84, 3 La 3.15



Entry B
Density functional theory data (PBE) for crystalline LaZrMn at its relaxed geometry.

a = 6.7941 Å, b = 6.7941 Å, c = 6.7941 Å
α = 151.96°, β = 151.96°, γ = 40.07°
With the nearest neighbours (Å) after each atom.
Positions (direct):
La 0.9699 0.9699 0.0000  4 Mn 3.04, 1 Zr 3.28, 4 La 3.29
Zr 0.7131 0.7131 0.0000  4 Mn 2.68
Mn 0.3171 0.3171 0.0000  4 Zr 2.68



Entry C
Density functional theory data (PBE) for crystalline LaZrMn at its relaxed geometry.

a = 4.6786 Å, b = 4.6786 Å, c = 4.6786 Å
α = 60.00°, β = 60.00°, γ = 60.00°
With the nearest neighbours (Å) after each atom.
Positions (direct):
Mn 0.7500 0.7500 0.7500  4 Zr 2.87, 4 La 2.87
Zr 0.0000 0.0000 0.0000  4 Mn 2.87
La 0.5000 0.5000 0.5000  4 Mn 2.87



Entry D
Density functional theory data (PBE) for crystalline LaZrMn at its relaxed geometry.

a = 4.7593 Å, b = 4.7593 Å, c = 4.7593 Å
α = 60.00°, β = 60.00°, γ = 60.00°
With the nearest neighbours (Å) after each atom.
Positions (direct):
La 0.7500 0.7500 0.7500  4 Zr 2.91, 4 Mn 2.91
Zr 0.5000 0.5000 0.5000  4 La 2.91
Mn 0.0000 0.0000 0.0000  4 La 2.91



entry B is favored, and the nearest alternative lies 116 meV/atom above it.



Entry A
Density functional theory data (PBE) for crystalline LaZr2Mn at its relaxed geometry.

a = 3.4905 Å, b = 5.1861 Å, c = 5.1155 Å
α = 90.00°, β = 90.00°, γ = 90.00°
With the nearest neighbours (Å) after each atom.
Positions (direct):
Mn 0.0000 0.5000 0.5000  4 Zr 3.10, 4 La 3.13
Zr 0.0000 0.0000 0.0000  4 La 3.10, 4 Zr 3.13
Zr 0.5000 0.5000 0.0000  4 Mn 3.10, 4 Zr 3.13
La 0.5000 0.0000 0.5000  4 Zr 3.10, 4 Mn 3.13



Entry B
Density functional theory data (PBE) for crystalline LaZr2Mn at its relaxed geometry.

a = 7.1878 Å, b = 7.1878 Å, c = 7.1884 Å
α = 60.00°, β = 60.00°, γ = 90.00°
With the nearest neighbours (Å) after each atom.
Positions (direct):
Zr 0.3748 0.1250 0.2500  2 Mn 2.20
Zr 0.8750 0.6248 0.7500  2 Mn 2.20
Zr 0.3752 0.6250 0.2500  2 Mn 2.20
Zr 0.3750 0.6252 0.7500  2 Mn 2.20
Mn 0.2500 0.7500 0.5000  4 Zr 2.20
Mn 0.5000 0.5000 0.0000  4 Zr 2.20
La 0.7500 0.2500 0.5000  12 Zr 4.21-4.22, 4 Mn 4.40, 4 La 4.40
La 0.0000 0.0000 0.0000  12 Zr 4.21-4.22, 4 Mn 4.40, 4 La 4.40



Entry C
Density functional theory data (PBE) for crystalline LaZr2Mn at its relaxed geometry.

a = 3.2577 Å, b = 3.2577 Å, c = 8.4590 Å
α = 90.00°, β = 90.00°, γ = 90.40°
With the nearest neighbours (Å) after each atom.
Positions (direct):
Mn 0.5000 0.5000 0.7500  8 Zr 2.75-2.76
Zr 0.0000 0.0000 0.9290  4 Mn 2.75-2.76, 1 Zr 3.03
Zr 0.0000 0.0000 0.5710  4 Mn 2.75-2.76, 1 Zr 3.03
La 0.5000 0.5000 0.2500  4 La 3.26, 8 Zr 3.56-3.57



entry C is favored, and the nearest alternative lies 233 meV/atom above it.